(1)
Below is a relaxed structure of Cu2TcPt3, with properties calculated at the PBE level.

Computed properties:
E   -6.29 eV per atom
Total magnetization   0.00 μB per formula unit
E_form   -0.1721 eV/atom

Structure (CIF):
```
data_Cu2TcPt3
_chemical_formula_sum 'Cu2 Tc1 Pt3'
_symmetry_space_group_name_H-M 'P 1'
_symmetry_Int_Tables_number 1
_symmetry_space_group_name_Hall 'P 1'
_cell_length_a 2.7700
_cell_length_b 2.7700
_cell_length_c 11.1528
_cell_angle_alpha 90.00
_cell_angle_beta 90.00
_cell_angle_gamma 90.00
loop_
_atom_site_label
_atom_site_fract_x
_atom_site_fract_y
_atom_site_fract_z
Cu1 0.0000 0.0000 0.1618
Cu2 0.0000 0.0000 0.8382
Tc1 0.0000 0.0000 0.5000
Pt1 0.5000 0.5000 0.0000
Pt2 0.5000 0.5000 0.3297
Pt3 0.5000 0.5000 0.6703
```

---

(2)
Below is a relaxed structure of Co2MoPtC, with properties calculated at the PBE level.

Computed properties:
E   -7.95 eV per atom
Total magnetization   2.87 μB per formula unit
E_form   0.1135 eV/atom

Structure (CIF):
```
data_Co2MoPtC
_chemical_formula_sum 'Co2 Mo1 Pt1 C1'
_symmetry_space_group_name_H-M 'P 1'
_symmetry_Int_Tables_number 1
_symmetry_space_group_name_Hall 'P 1'
_cell_length_a 3.8461
_cell_length_b 3.8461
_cell_length_c 4.1063
_cell_angle_alpha 90.00
_cell_angle_beta 90.00
_cell_angle_gamma 90.00
loop_
_atom_site_label
_atom_site_fract_x
_atom_site_fract_y
_atom_site_fract_z
Co1 0.0000 0.5000 0.0000
Co2 0.5000 0.0000 0.0000
Mo1 0.0000 0.0000 0.5000
Pt1 0.5000 0.5000 0.5000
C1 0.0000 0.0000 0.0000
```

---

(3)
Below is a relaxed structure of CoHgPt2, with properties calculated at the PBE level.

Computed properties:
E   -4.47 eV per atom
Total magnetization   2.23 μB per formula unit
E_form   0.4007 eV/atom

Structure (CIF):
```
data_CoHgPt2
_chemical_formula_sum 'Co4 Hg4 Pt8'
_symmetry_space_group_name_H-M 'P 1'
_symmetry_Int_Tables_number 1
_symmetry_space_group_name_Hall 'P 1'
_cell_length_a 3.8780
_cell_length_b 3.8780
_cell_length_c 18.5127
_cell_angle_alpha 90.00
_cell_angle_beta 90.00
_cell_angle_gamma 90.00
loop_
_atom_site_label
_atom_site_fract_x
_atom_site_fract_y
_atom_site_fract_z
Co1 0.0000 0.0000 0.0000
Co2 0.0000 0.5000 0.2500
Co3 0.5000 0.0000 0.7500
Co4 0.5000 0.5000 0.5000
Hg1 0.0000 0.0000 0.5000
Hg2 0.0000 0.5000 0.7500
Hg3 0.5000 0.0000 0.2500
Hg4 0.5000 0.5000 0.0000
Pt1 0.2328 0.2500 0.1250
Pt2 0.2500 0.7328 0.3750
Pt3 0.2500 0.7672 0.8750
Pt4 0.2672 0.2500 0.6250
Pt5 0.7328 0.7500 0.6250
Pt6 0.7500 0.2328 0.8750
Pt7 0.7500 0.2672 0.3750
Pt8 0.7672 0.7500 0.1250
```

---

(4)
Below is a relaxed structure of CdSb2Rh, with properties calculated at the PBE level.

Computed properties:
Formation energy from raw total energies   0.071 eV per atom
E   -4.06 eV per atom
Total magnetization   0.00 μB per formula unit

Structure (CIF):
```
data_CdSb2Rh
_chemical_formula_sum 'Cd4 Sb8 Rh4'
_symmetry_space_group_name_H-M 'P 1'
_symmetry_Int_Tables_number 1
_symmetry_space_group_name_Hall 'P 1'
_cell_length_a 6.2525
_cell_length_b 6.2525
_cell_length_c 12.4248
_cell_angle_alpha 90.00
_cell_angle_beta 90.00
_cell_angle_gamma 90.00
loop_
_atom_site_label
_atom_site_fract_x
_atom_site_fract_y
_atom_site_fract_z
Cd1 0.0000 0.0000 0.0000
Cd2 0.0000 0.5000 0.2500
Cd3 0.5000 0.0000 0.7500
Cd4 0.5000 0.5000 0.5000
Sb1 0.2003 0.2500 0.6250
Sb2 0.2500 0.7003 0.8750
Sb3 0.2500 0.7997 0.3750
Sb4 0.2997 0.2500 0.1250
Sb5 0.7003 0.7500 0.1250
Sb6 0.7500 0.2003 0.3750
Sb7 0.7500 0.2997 0.8750
Sb8 0.7997 0.7500 0.6250
Rh1 0.0000 0.0000 0.5000
Rh2 0.0000 0.5000 0.7500
Rh3 0.5000 0.0000 0.2500
Rh4 0.5000 0.5000 0.0000
```

---

(5)
Below is a relaxed structure of TaTi6Al, with properties calculated at the PBE level.

Computed properties:
E   -7.91 eV per atom
Total magnetization   3.41 μB per formula unit
E_form   -0.0351 eV/atom

Structure (CIF):
```
data_TaTi6Al
_chemical_formula_sum 'Ta1 Ti6 Al1'
_symmetry_space_group_name_H-M 'P 1'
_symmetry_Int_Tables_number 1
_symmetry_space_group_name_Hall 'P 1'
_cell_length_a 7.9600
_cell_length_b 7.9600
_cell_length_c 7.9600
_cell_angle_alpha 33.59
_cell_angle_beta 33.59
_cell_angle_gamma 33.59
loop_
_atom_site_label
_atom_site_fract_x
_atom_site_fract_y
_atom_site_fract_z
Ta1 0.0000 0.0000 0.0000
Ti1 0.1259 0.1259 0.1259
Ti2 0.2522 0.2522 0.2522
Ti3 0.3736 0.3736 0.3736
Ti4 0.6264 0.6264 0.6264
Ti5 0.7478 0.7478 0.7478
Ti6 0.8741 0.8741 0.8741
Al1 0.5000 0.5000 0.5000
```

---

(6)
Below is a relaxed structure of NiAsSe4, with properties calculated at the PBE level.

Computed properties:
Formation energy from raw total energies   0.956 eV per atom
E   -3.11 eV per atom
Total magnetization   0.68 μB per formula unit

Structure (CIF):
```
data_NiAsSe4
_chemical_formula_sum 'Ni1 As1 Se4'
_symmetry_space_group_name_H-M 'P 1'
_symmetry_Int_Tables_number 1
_symmetry_space_group_name_Hall 'P 1'
_cell_length_a 5.5951
_cell_length_b 5.5951
_cell_length_c 5.5951
_cell_angle_alpha 60.00
_cell_angle_beta 60.00
_cell_angle_gamma 60.00
loop_
_atom_site_label
_atom_site_fract_x
_atom_site_fract_y
_atom_site_fract_z
Ni1 0.0000 0.0000 0.0000
As1 0.2500 0.2500 0.2500
Se1 0.1233 0.6256 0.6256
Se2 0.6256 0.1233 0.6256
Se3 0.6256 0.6256 0.1233
Se4 0.6256 0.6256 0.6256
```